[1]
The following is a DFT calculation (PBE-GGA) of crystalline Ac2Pm4Hg3N2 at its relaxed geometry.

uncorrected formation energy: -0.679 eV/atom
E_tot: -104.49 eV for the cell shown

abc: 4.988 4.988 24.814
angles: 90.00 90.00 90.00
Space group I4/mmm (No. 139)
Inequivalent atoms, fractional coordinates:
1 Ac 0.000 0.000 0.197 (multiplicity 4)
2 Pm 0.000 0.500 0.081 (multiplicity 8)
3 Hg 0.000 0.000 0.333 (multiplicity 4)
4 Hg 0.000 0.000 0.500 (multiplicity 2)
5 N 0.000 0.000 0.100 (multiplicity 4)

[2]
The following is a DFT calculation (PBE-GGA) of crystalline Ac3Pr4Hg3N2 at its relaxed geometry.

uncorrected formation energy: -0.590 eV/atom
E_tot: -112.16 eV for the cell shown

abc: 5.154 5.311 25.762
angles: 90.00 90.00 90.00
Space group Immm (No. 71)
Inequivalent atoms, fractional coordinates:
1 Ac 0.000 0.000 0.000 (multiplicity 2)
2 Ac 0.000 0.500 0.099 (multiplicity 4)
3 Pr 0.000 0.000 0.201 (multiplicity 4)
4 Pr 0.000 0.500 0.398 (multiplicity 4)
5 Hg 0.000 0.000 0.322 (multiplicity 4)
6 Hg 0.000 0.000 0.500 (multiplicity 2)
7 N 0.000 0.000 0.105 (multiplicity 4)